# YSi2Sb, relaxed, DFT PBE
data_YSi2Sb
_chemical_formula_sum 'Y2 Si4 Sb2'
_space_group_name_H-M_alt 'I m m 2'
_space_group_IT_number 44
_space_group_name_Hall 'I 2 -2'
_cell_length_a 3.596
_cell_length_b 5.089
_cell_length_c 9.259
_cell_angle_alpha 90.00
_cell_angle_beta 90.00
_cell_angle_gamma 90.00
loop_
_atom_site_label
_atom_site_type_symbol
_atom_site_fract_x
_atom_site_fract_y
_atom_site_fract_z
Y1 Y 0.000 0.000 0.000
Si1 Si 0.000 0.000 0.555
Si2 Si 0.000 0.500 0.235
Sb1 Sb 0.000 0.500 0.787
# * raw formation energy: -213 meV per atom



# LiAcPd2, relaxed, DFT PBE
data_LiAcPd2
_chemical_formula_sum 'Li4 Ac4 Pd8'
_space_group_name_H-M_alt 'P n m a'
_space_group_IT_number 62
_space_group_name_Hall '-P 2ac 2n'
_cell_length_a 8.282
_cell_length_b 4.496
_cell_length_c 9.129
_cell_angle_alpha 90.00
_cell_angle_beta 90.00
_cell_angle_gamma 90.00
loop_
_atom_site_label
_atom_site_type_symbol
_atom_site_fract_x
_atom_site_fract_y
_atom_site_fract_z
Li1 Li 0.072 0.250 0.046
Ac1 Ac 0.094 0.750 0.332
Pd1 Pd 0.161 0.750 0.722
Pd2 Pd 0.247 0.750 0.022
# * energy above the lowest structure with this stoichiometry: 0.0000 eV per atom
# * formation energy from the elements: -66 kJ per mole of atoms



# Tl3CO4, relaxed, DFT PBE
data_Tl3CO4
_chemical_formula_sum 'Tl6 C2 O8'
_space_group_name_H-M_alt 'I m m 2'
_space_group_IT_number 44
_space_group_name_Hall 'I 2 -2'
_cell_length_a 5.544
_cell_length_b 7.427
_cell_length_c 6.389
_cell_angle_alpha 90.00
_cell_angle_beta 90.00
_cell_angle_gamma 90.00
loop_
_atom_site_label
_atom_site_type_symbol
_atom_site_fract_x
_atom_site_fract_y
_atom_site_fract_z
Tl1 Tl 0.000 0.000 0.000
Tl2 Tl 0.000 0.245 0.499
C1 C 0.000 0.500 0.006
O1 O 0.000 0.345 0.880
O2 O 0.210 0.500 0.134
# * raw formation energy: -721 meV per atom



# NiAs3P, relaxed, DFT PBE
data_NiAs3P
_chemical_formula_sum 'Ni1 As3 P1'
_space_group_name_H-M_alt 'P m -3 m'
_space_group_IT_number 221
_space_group_name_Hall '-P 4 2 3'
_cell_length_a 4.589
_cell_length_b 4.589
_cell_length_c 4.589
_cell_angle_alpha 90.00
_cell_angle_beta 90.00
_cell_angle_gamma 90.00
loop_
_atom_site_label
_atom_site_type_symbol
_atom_site_fract_x
_atom_site_fract_y
_atom_site_fract_z
Ni1 Ni 0.000 0.000 0.000
As1 As 0.000 0.000 0.500
P1 P 0.500 0.500 0.500
# * energy above the lowest structure with this stoichiometry: 0.0000 eV per atom
# * formation energy from the elements: 64 kJ per mole of atoms



# Cs7Br3O2, relaxed, DFT PBE
data_Cs7Br3O2
_chemical_formula_sum 'Cs14 Br6 O4'
_space_group_name_H-M_alt 'I 4/m m m'
_space_group_IT_number 139
_space_group_name_Hall '-I 4 2'
_cell_length_a 5.891
_cell_length_b 5.891
_cell_length_c 29.889
_cell_angle_alpha 90.00
_cell_angle_beta 90.00
_cell_angle_gamma 90.00
loop_
_atom_site_label
_atom_site_type_symbol
_atom_site_fract_x
_atom_site_fract_y
_atom_site_fract_z
Cs1 Cs 0.000 0.000 0.000
Cs2 Cs 0.000 0.000 0.192
Cs3 Cs 0.000 0.500 0.096
Br1 Br 0.000 0.000 0.322
Br2 Br 0.000 0.000 0.500
O1 O 0.000 0.000 0.101
# * raw formation energy: -1360 meV per atom
# * energy above the lowest structure with this stoichiometry: 0.0000 eV per atom



# InSi2Te, relaxed, DFT PBE
data_InSi2Te
_chemical_formula_sum 'In3 Si6 Te3'
_space_group_name_H-M_alt 'R 3 m'
_space_group_IT_number 160
_space_group_name_Hall 'R 3 -2"'
_cell_length_a 3.9225
_cell_length_b 3.9225
_cell_length_c 20.6004
_cell_angle_alpha 90.00
_cell_angle_beta 90.00
_cell_angle_gamma 120.00
loop_
_atom_site_label
_atom_site_type_symbol
_atom_site_fract_x
_atom_site_fract_y
_atom_site_fract_z
In1 In 0.0000 0.0000 0.0000
Si1 Si 0.0000 0.0000 0.2407
Si2 Si 0.0000 0.0000 0.5283
Te1 Te 0.0000 0.0000 0.7658
# * raw formation energy: 179 meV per atom
# * energy above the lowest structure with this stoichiometry: 0.0000 eV per atom



# Ta2IrPd, relaxed, DFT PBE
data_Ta2IrPd
_chemical_formula_sum 'Ta8 Ir4 Pd4'
_space_group_name_H-M_alt 'I -4 2 d'
_space_group_IT_number 122
_space_group_name_Hall 'I -4 2bw'
_cell_length_a 7.183
_cell_length_b 7.183
_cell_length_c 5.558
_cell_angle_alpha 90.00
_cell_angle_beta 90.00
_cell_angle_gamma 90.00
loop_
_atom_site_label
_atom_site_type_symbol
_atom_site_fract_x
_atom_site_fract_y
_atom_site_fract_z
Ta1 Ta 0.235 0.250 0.125
Ir1 Ir 0.000 0.000 0.000
Pd1 Pd 0.000 0.000 0.500
# * formation energy from the elements: 9 kJ per mole of atoms



# Co4CuCl, relaxed, DFT PBE
data_Co4CuCl
_chemical_formula_sum 'Co16 Cu4 Cl4'
_space_group_name_H-M_alt 'F -4 3 m'
_space_group_IT_number 216
_space_group_name_Hall 'F -4 2 3'
_cell_length_a 6.836
_cell_length_b 6.836
_cell_length_c 6.836
_cell_angle_alpha 90.00
_cell_angle_beta 90.00
_cell_angle_gamma 90.00
loop_
_atom_site_label
_atom_site_type_symbol
_atom_site_fract_x
_atom_site_fract_y
_atom_site_fract_z
Co1 Co 0.125 0.125 0.125
Cu1 Cu 0.250 0.250 0.750
Cl1 Cl 0.000 0.000 0.500
# * raw formation energy: 653 meV per atom



no.,volume (Å³/atom)
1,21.179
2,21.246
3,16.441
4,19.328
5,43.226
6,22.874
7,17.923
8,13.311